Below is crystalline TbTlGaAu at its relaxed geometry, with properties calculated at the PBE level.

Structure (CIF):
```
data_TbTlGaAu
_chemical_formula_sum 'Tb1 Tl1 Ga1 Au1'
_space_group_name_H-M_alt 'P 1'
_space_group_IT_number 1
_cell_length_a 5.0348
_cell_length_b 5.0348
_cell_length_c 5.0348
_cell_angle_alpha 60.00
_cell_angle_beta 60.00
_cell_angle_gamma 60.00
loop_
_space_group_symop_operation_xyz
'x,y,z'
loop_
_atom_site_label
_atom_site_type_symbol
_atom_site_fract_x
_atom_site_fract_y
_atom_site_fract_z
_atom_site_occupancy
Au1 Au 0.7500 0.7500 0.7500 1
Tb1 Tb 0.5000 0.5000 0.5000 1
Tl1 Tl 0.0000 0.0000 0.0000 1
Ga1 Ga 0.2500 0.2500 0.2500 1
```

* energy: -3.7262 eV/atom
* size of the total moment: 0.000 Bohr magnetons per cell